# LiCd3Hg4 | Alexandria | GGA-PBE | relaxed
# **Formation energy**: -0.089 eV/atom
# **Calculated density**: 10.52 g/cm3
# **E_tot**: -13.15 eV for the cell shown
# **Calculated volume**: 22.63 Å³ per atom
# **ΔE to the lowest computed polymorph**: 0.0 meV/atom
# **DOS(E_F)**: 1.73 states/eV/f.u.
data_LiCd3Hg4
_chemical_formula_sum 'Li2 Cd6 Hg8'
_cell_length_a 10.3906
_cell_length_b 6.6378
_cell_length_c 5.2499
_cell_angle_alpha 90.00
_cell_angle_beta 90.00
_cell_angle_gamma 90.00
_symmetry_space_group_name_H-M 'P m m a'
_symmetry_Int_Tables_number 51
loop_
_symmetry_equiv_pos_as_xyz
'x,y,z'
'-x,-y,-z'
'-x+1/2,-y,z'
'x+1/2,y,-z'
'x+1/2,-y,-z'
'-x+1/2,y,z'
'-x,y,-z'
'x,-y,z'
loop_
_atom_site_label
_atom_site_type_symbol
_atom_site_fract_x
_atom_site_fract_y
_atom_site_fract_z
_atom_site_occupancy
Li1 Li 0.0000 0.0000 0.0000 1
Cd1 Cd 0.0000 0.5000 0.0000 1
Cd2 Cd 0.2500 0.0000 0.3651 1
Cd3 Cd 0.2500 0.5000 0.3719 1
Hg1 Hg 0.0000 0.2414 0.5000 1
Hg2 Hg 0.2500 0.2451 0.8745 1